Entry 1:
PuSeCl after structural relaxation. Source: Alexandria via LeMat-Bulk, functional PBE.

Unit cell a=6.4527 b=4.1865 c=4.1865 alpha=120.00 beta=90.00 gamma=90.00
Sites, in units of the cell vectors:
Cl (0.2298, 0.3333, 0.6667)
Se (0.7718, 0.6667, 0.3333)
Pu (0.9984, 0.0000, 0.0000)

Computed properties:
The calculation puts the offset from the most stable computed form at 15 meV/atom.


Entry 2:
PuSe6Cl12 after structural relaxation. Source: Alexandria via LeMat-Bulk, functional PBE.

Unit cell a=9.3971 b=9.3971 c=9.3971 alpha=68.13 beta=68.13 gamma=68.13
Sites, in units of the cell vectors:
Pu (0.0000, 0.0000, 0.0000)
Se (0.2234, 0.2883, 0.4890)
Se (0.7117, 0.5110, 0.7766)
Se (0.5110, 0.7766, 0.7117)
Se (0.7766, 0.7117, 0.5110)
Se (0.2883, 0.4890, 0.2234)
Se (0.4890, 0.2234, 0.2883)
Cl (0.5333, 0.0096, 0.7027)
Cl (0.0096, 0.7027, 0.5333)
Cl (0.7027, 0.5333, 0.0096)
Cl (0.4667, 0.9904, 0.2973)
Cl (0.9904, 0.2973, 0.4667)
Cl (0.2973, 0.4667, 0.9904)
Cl (0.1580, 0.8893, 0.7521)
Cl (0.2479, 0.8420, 0.1107)
Cl (0.1107, 0.2479, 0.8420)
Cl (0.8420, 0.1107, 0.2479)
Cl (0.7521, 0.1580, 0.8893)
Cl (0.8893, 0.7521, 0.1580)


Entry 3:
Pu6Se5Cl after structural relaxation. Source: Alexandria via LeMat-Bulk, functional PBE.

Unit cell a=7.1616 b=7.1649 c=7.1646 alpha=60.00 beta=80.39 gamma=70.50
Sites, in units of the cell vectors:
Cl (0.0000, 0.0000, 0.0000)
Se (0.5000, 0.1683, 0.6634)
Se (0.0000, 0.3336, 0.3327)
Se (0.5000, 0.5000, 0.0000)
Se (0.0000, 0.6664, 0.6673)
Se (0.5000, 0.8317, 0.3366)
Pu (0.7509, 0.0829, 0.3325)
Pu (0.2491, 0.5846, 0.3325)
Pu (0.2508, 0.2489, 0.0000)
Pu (0.7492, 0.7511, 0.0000)
Pu (0.7509, 0.4154, 0.6675)
Pu (0.2491, 0.9171, 0.6675)


Entry 4:
Pu3SeCl3 after structural relaxation. Source: Alexandria via LeMat-Bulk, functional PBE.

Unit cell a=6.2862 b=6.2862 c=10.7401 alpha=72.98 beta=72.98 gamma=60.00
Sites, in units of the cell vectors:
Pu (0.1623, 0.7295, 0.1622)
Pu (0.9460, 0.1623, 0.1622)
Pu (0.7295, 0.9460, 0.1622)
Pu (0.2705, 0.0540, 0.8378)
Pu (0.0540, 0.8377, 0.8378)
Pu (0.8377, 0.2705, 0.8378)
Se (0.3333, 0.3333, 0.0000)
Se (0.6667, 0.6667, 0.0000)
Cl (0.5261, 0.6890, 0.6777)
Cl (0.6890, 0.1073, 0.6777)
Cl (0.1073, 0.5261, 0.6777)
Cl (0.8927, 0.4739, 0.3223)
Cl (0.3110, 0.8927, 0.3223)
Cl (0.4739, 0.3110, 0.3223)


For the records above, the corresponding formation energy without anion corrections values read -1.5809 -0.5053 -1.4544 -0.7720 eV per atom.
For the records above, the corresponding calculated total energy values read -24.41 -67.00 -122.71 -114.85 eV per cell.